Ac2Ni5Ge3 after structural relaxation. Source: the Alexandria database, functional PBE-GGA.

The value obtained for the theoretical density is 8.9 g cm⁻³. For the formation energy, the calculation gives -0.49 eV per atom. The calculation puts the spin magnetization at 0.000 μB per formula unit. The volume is 179.2 Å³/f.u. For the total energy, the calculation gives -5.589 eV per atom.

abc: 8.2977 8.2977 6.1329
angles: 111.38 111.38 92.51
Closest atoms and distances in Å follow each position.
Positions (direct):
Ac 0.1164 0.3746 0.2465  10 Ni 3.17-3.32, 7 Ge 3.24-3.52
Ac 0.3746 0.1164 0.7465  10 Ni 3.17-3.32, 7 Ge 3.24-3.52
Ac 0.6254 0.8836 0.2535  10 Ni 3.17-3.32, 7 Ge 3.24-3.52
Ac 0.8836 0.6254 0.7535  10 Ni 3.17-3.32, 7 Ge 3.24-3.52
Ni 0.0039 0.9961 0.7500  4 Ge 2.42-2.43
Ni 0.2476 0.7524 0.7500  2 Ge 2.42, 2 Ni 2.54
Ni 0.2535 0.4887 0.8678  3 Ge 2.43-2.49, 2 Ni 2.52-2.54
Ni 0.2553 0.7447 0.2500  2 Ge 2.44, 2 Ni 2.52
Ni 0.4887 0.2535 0.3678  3 Ge 2.43-2.49, 2 Ni 2.52-2.54
Ni 0.5113 0.7465 0.6322  3 Ge 2.43-2.49, 2 Ni 2.52-2.54
Ni 0.7447 0.2553 0.7500  2 Ge 2.44, 2 Ni 2.52
Ni 0.7465 0.5113 0.1322  3 Ge 2.43-2.49, 2 Ni 2.52-2.54
Ni 0.7524 0.2476 0.2500  2 Ge 2.42, 2 Ni 2.54
Ni 0.9961 0.0039 0.2500  4 Ge 2.42-2.43
Ge 0.0101 0.7590 0.3804  5 Ni 2.42-2.49
Ge 0.2410 0.9899 0.1196  5 Ni 2.42-2.49
Ge 0.4974 0.5026 0.2500  4 Ni 2.43
Ge 0.5026 0.4974 0.7500  4 Ni 2.43
Ge 0.7590 0.0101 0.8804  5 Ni 2.42-2.49
Ge 0.9899 0.2410 0.6196  5 Ni 2.42-2.49

Ac6Ni3Ge after structural relaxation. Source: the Alexandria database, functional PBE-GGA.

The value obtained for the theoretical density is 8.3 g cm⁻³. For the formation energy, the calculation gives -0.26 eV per atom. The calculation puts the spin magnetization at 0.000 μB per formula unit. The volume is 324.0 Å³/f.u. For the total energy, the calculation gives -4.926 eV per atom.

abc: 12.5404 4.3801 12.6072
angles: 90.00 110.64 90.00
Closest atoms and distances in Å follow each position.
Positions (direct):
Ac 0.0394 0.2500 0.3819  2 Ni 3.14, 3 Ge 3.25-3.32
Ac 0.1091 0.7500 0.9609  3 Ni 2.90-2.95
Ac 0.2411 0.2500 0.7757  3 Ni 3.01-3.08
Ac 0.2524 0.7500 0.2959  3 Ni 2.89-3.07
Ac 0.4096 0.2500 0.5791  3 Ni 2.96-3.03
Ac 0.4415 0.2500 0.1105  4 Ni 2.98-3.10
Ac 0.5585 0.7500 0.8895  4 Ni 2.98-3.10
Ac 0.5904 0.7500 0.4209  3 Ni 2.96-3.03
Ac 0.7476 0.2500 0.7041  3 Ni 2.89-3.07
Ac 0.7589 0.7500 0.2243  3 Ni 3.01-3.08
Ac 0.8909 0.2500 0.0391  3 Ni 2.90-2.95
Ac 0.9606 0.7500 0.6181  2 Ni 3.14, 3 Ge 3.25-3.32
Ni 0.0090 0.2500 0.8079  6 Ac 2.90-3.14
Ni 0.3388 0.7500 0.9464  6 Ac 2.95-3.08
Ni 0.4132 0.2500 0.3454  6 Ac 2.89-3.10
Ni 0.5868 0.7500 0.6546  6 Ac 2.89-3.10
Ni 0.6612 0.2500 0.0536  6 Ac 2.95-3.08
Ni 0.9910 0.7500 0.1921  6 Ac 2.90-3.14
Ge 0.1979 0.7500 0.5576  8 Ac 3.25-3.60
Ge 0.8021 0.2500 0.4424  8 Ac 3.25-3.60

Ac6NiGe3 after structural relaxation. Source: the Alexandria database, functional PBE-GGA.

The value obtained for the theoretical density is 7.5 g cm⁻³. For the formation energy, the calculation gives -0.40 eV per atom. The calculation puts the spin magnetization at 0.003 μB per formula unit. The volume is 364.2 Å³/f.u. For the total energy, the calculation gives -4.830 eV per atom.

abc: 9.1414 9.1414 9.1414
angles: 99.50 99.50 99.50
Closest atoms and distances in Å follow each position.
Positions (direct):
Ac 0.0430 0.9295 0.6840  1 Ni 2.96, 2 Ge 3.16
Ac 0.0705 0.3160 0.9570  1 Ni 2.96, 2 Ge 3.16
Ac 0.1884 0.5615 0.4249  1 Ni 2.99, 3 Ge 3.19-3.30
Ac 0.3160 0.9570 0.0705  1 Ni 2.96, 2 Ge 3.16
Ac 0.4249 0.1884 0.5615  1 Ni 2.99, 3 Ge 3.19-3.30
Ac 0.4385 0.5751 0.8116  1 Ni 2.99, 3 Ge 3.19-3.30
Ac 0.5615 0.4249 0.1884  1 Ni 2.99, 3 Ge 3.19-3.30
Ac 0.5751 0.8116 0.4385  1 Ni 2.99, 3 Ge 3.19-3.30
Ac 0.6840 0.0430 0.9295  1 Ni 2.96, 2 Ge 3.16
Ac 0.8116 0.4385 0.5751  1 Ni 2.99, 3 Ge 3.19-3.30
Ac 0.9295 0.6840 0.0430  1 Ni 2.96, 2 Ge 3.16
Ac 0.9570 0.0705 0.3160  1 Ni 2.96, 2 Ge 3.16
Ni 0.0000 0.0000 0.0000  6 Ac 2.96
Ni 0.5000 0.5000 0.5000  6 Ac 2.99
Ge 0.1216 0.2970 0.6212  7 Ac 3.16-3.51
Ge 0.2970 0.6212 0.1216  7 Ac 3.16-3.51
Ge 0.3788 0.8784 0.7030  7 Ac 3.16-3.51
Ge 0.6212 0.1216 0.2970  7 Ac 3.16-3.51
Ge 0.7030 0.3788 0.8784  7 Ac 3.16-3.51
Ge 0.8784 0.7030 0.3788  7 Ac 3.16-3.51

Ac3NiGe after structural relaxation. Source: the Alexandria database, functional PBE-GGA.

The value obtained for the theoretical density is 8.5 g cm⁻³. For the formation energy, the calculation gives -0.38 eV per atom. The calculation puts the spin magnetization at 0.002 μB per formula unit. The excess energy over the best structure of this formula in the dataset comes out at 0.000 eV/atom. The volume is 158.0 Å³/f.u. For the total energy, the calculation gives -4.926 eV per atom.

abc: 8.5356 8.5356 8.8470
angles: 90.06 90.06 29.37
Closest atoms and distances in Å follow each position.
Positions (direct):
Ac 0.0000 0.0000 0.0000  3 Ni 3.17-3.25, 3 Ge 3.31
Ac 0.1430 0.1430 0.3628  3 Ni 2.89-2.94
Ac 0.3629 0.3629 0.2522  3 Ni 2.89-2.94
Ac 0.5061 0.5061 0.6152  3 Ni 3.17-3.25, 3 Ge 3.30-3.31
Ac 0.7123 0.7123 0.9883  4 Ge 3.30-3.45, 1 Ac 3.47
Ac 0.7939 0.7939 0.6266  4 Ge 3.30-3.45, 1 Ac 3.47
Ni 0.5376 0.5376 0.2530  2 Ni 2.64, 3 Ac 2.89-2.94
Ni 0.9681 0.9681 0.3629  2 Ni 2.64, 3 Ac 2.89-2.94
Ge 0.1430 0.1430 0.7385  8 Ac 3.30-3.45
Ge 0.3632 0.3632 0.8765  8 Ac 3.30-3.45

AcNiGe3 after structural relaxation. Source: the Alexandria database, functional PBE-GGA.

The value obtained for the theoretical density is 8.3 g cm⁻³. For the formation energy, the calculation gives -0.59 eV per atom. The calculation puts the spin magnetization at 0.000 μB per formula unit. The excess energy over the best structure of this formula in the dataset comes out at 0.000 eV/atom. The volume is 100.6 Å³/f.u. For the total energy, the calculation gives -5.334 eV per atom.

abc: 5.8652 5.8652 5.8652
angles: 134.63 134.63 66.11
Closest atoms and distances in Å follow each position.
Positions (direct):
Ac 0.0000 0.0000 0.0000  12 Ge 3.31-3.37, 5 Ni 3.38-3.55
Ni 0.6564 0.6564 0.0000  5 Ge 2.41-2.46
Ge 0.2547 0.7547 0.5000  2 Ni 2.46, 2 Ge 2.74
Ge 0.4113 0.4113 0.0000  1 Ni 2.41
Ge 0.7547 0.2547 0.5000  2 Ni 2.46, 2 Ge 2.74

Ac3Ni4Ge2 after structural relaxation. Source: the Alexandria database, functional PBE-GGA.

The value obtained for the theoretical density is 8.7 g cm⁻³. For the formation energy, the calculation gives -0.49 eV per atom. The calculation puts the spin magnetization at 0.000 μB per formula unit. The volume is 201.5 Å³/f.u. For the total energy, the calculation gives -5.452 eV per atom.

abc: 6.1064 6.1064 8.5313
angles: 99.44 99.44 40.03
Closest atoms and distances in Å follow each position.
Positions (direct):
Ac 0.0000 0.0000 0.0000  8 Ni 3.27-3.31, 4 Ge 3.28
Ac 0.3365 0.3365 0.3279  8 Ni 3.20-3.36, 4 Ge 3.26-3.28
Ac 0.6635 0.6635 0.6721  8 Ni 3.20-3.36, 4 Ge 3.26-3.28
Ni 0.0552 0.0552 0.3889  2 Ge 2.42, 1 Ni 2.46
Ni 0.2773 0.2773 0.9389  1 Ge 2.44, 2 Ni 2.47
Ni 0.7227 0.7227 0.0611  1 Ge 2.44, 2 Ni 2.47
Ni 0.9448 0.9448 0.6111  2 Ge 2.42, 1 Ni 2.46
Ge 0.3870 0.3870 0.7179  3 Ni 2.42-2.44
Ge 0.6130 0.6130 0.2821  3 Ni 2.42-2.44

Copy entry 5 word for word.
AcNiGe3 after structural relaxation. Source: the Alexandria database, functional PBE-GGA.

The value obtained for the theoretical density is 8.3 g cm⁻³. For the formation energy, the calculation gives -0.59 eV per atom. The calculation puts the spin magnetization at 0.000 μB per formula unit. The excess energy over the best structure of this formula in the dataset comes out at 0.000 eV/atom. The volume is 100.6 Å³/f.u. For the total energy, the calculation gives -5.334 eV per atom.

abc: 5.8652 5.8652 5.8652
angles: 134.63 134.63 66.11
Closest atoms and distances in Å follow each position.
Positions (direct):
Ac 0.0000 0.0000 0.0000  12 Ge 3.31-3.37, 5 Ni 3.38-3.55
Ni 0.6564 0.6564 0.0000  5 Ge 2.41-2.46
Ge 0.2547 0.7547 0.5000  2 Ni 2.46, 2 Ge 2.74
Ge 0.4113 0.4113 0.0000  1 Ni 2.41
Ge 0.7547 0.2547 0.5000  2 Ni 2.46, 2 Ge 2.74

Copy entry 4 word for word.
Ac3NiGe after structural relaxation. Source: the Alexandria database, functional PBE-GGA.

The value obtained for the theoretical density is 8.5 g cm⁻³. For the formation energy, the calculation gives -0.38 eV per atom. The calculation puts the spin magnetization at 0.002 μB per formula unit. The excess energy over the best structure of this formula in the dataset comes out at 0.000 eV/atom. The volume is 158.0 Å³/f.u. For the total energy, the calculation gives -4.926 eV per atom.

abc: 8.5356 8.5356 8.8470
angles: 90.06 90.06 29.37
Closest atoms and distances in Å follow each position.
Positions (direct):
Ac 0.0000 0.0000 0.0000  3 Ni 3.17-3.25, 3 Ge 3.31
Ac 0.1430 0.1430 0.3628  3 Ni 2.89-2.94
Ac 0.3629 0.3629 0.2522  3 Ni 2.89-2.94
Ac 0.5061 0.5061 0.6152  3 Ni 3.17-3.25, 3 Ge 3.30-3.31
Ac 0.7123 0.7123 0.9883  4 Ge 3.30-3.45, 1 Ac 3.47
Ac 0.7939 0.7939 0.6266  4 Ge 3.30-3.45, 1 Ac 3.47
Ni 0.5376 0.5376 0.2530  2 Ni 2.64, 3 Ac 2.89-2.94
Ni 0.9681 0.9681 0.3629  2 Ni 2.64, 3 Ac 2.89-2.94
Ge 0.1430 0.1430 0.7385  8 Ac 3.30-3.45
Ge 0.3632 0.3632 0.8765  8 Ac 3.30-3.45

The lowest theoretical density belongs to which entry?
Ac6NiGe3

What is the volume in the fourth record?
158.0 Å³/f.u.